1.
This record from Alexandria describes a geometry-optimized BaZr2In structure. The functional is GGA-PBE.

Cell lengths 3.3937, 4.2010, 8.1554 Å; angles 90.00, 90.00, 90.00 degrees
Closest atoms and distances in Å follow each position.
Fractional positions:
Ba 0.0000 0.0000 0.0000  2 Ba 3.39, 8 Zr 3.76
Zr 0.5000 0.5000 0.3208  1 Zr 2.92, 4 In 3.07
Zr 0.5000 0.5000 0.6792  1 Zr 2.92, 4 In 3.07
In 0.0000 0.0000 0.5000  8 Zr 3.07, 2 In 3.39

Values from the calculation:
* symmetry: Pmmm
* calculated formation energy: 229 meV per atom
* M_tot: 0.0000 μB/atom
* E: -20.843 eV/f.u.

***

2.
This record from Alexandria describes a geometry-optimized Ta2Mn2CoS6 structure. The functional is GGA-PBE.

Cell lengths 6.0710, 6.0710, 5.9490 Å; angles 90.73, 90.73, 121.80 degrees
Closest atoms and distances in Å follow each position.
Fractional positions:
Ta 0.1401 0.8599 0.0000  6 S 2.45-2.62
Ta 0.8599 0.1401 0.0000  6 S 2.45-2.62
Mn 0.1738 0.8262 0.5000  6 S 2.52-2.56
Mn 0.8262 0.1738 0.5000  6 S 2.52-2.56
Co 0.5000 0.5000 0.0000  6 S 2.43-2.48
S 0.1710 0.5076 0.7687  1 Co 2.43, 2 Ta 2.48-2.62, 2 Mn 2.52-2.53
S 0.1895 0.1895 0.2721  2 Ta 2.45, 1 Co 2.48, 2 Mn 2.56
S 0.4924 0.8290 0.2313  1 Co 2.43, 2 Ta 2.48-2.62, 2 Mn 2.52-2.53
S 0.5076 0.1710 0.7687  1 Co 2.43, 2 Ta 2.48-2.62, 2 Mn 2.52-2.53
S 0.8105 0.8105 0.7279  2 Ta 2.45, 1 Co 2.48, 2 Mn 2.56
S 0.8290 0.4924 0.2313  1 Co 2.43, 2 Ta 2.48-2.62, 2 Mn 2.52-2.53

Values from the calculation:
* symmetry: C2/m
* M_tot: 0.9705 μB/atom
* uncorrected formation energy: -6.78 eV per formula unit
* E: -80.697 eV/f.u.

***

3.
This record from Alexandria describes a geometry-optimized CsRbCl2 structure. The functional is GGA-PBE.

Cell lengths 4.8694, 4.8694, 23.8439 Å; angles 90.00, 90.00, 120.00 degrees
Closest atoms and distances in Å follow each position.
Fractional positions:
Cs 0.0000 0.0000 0.0000  6 Cl 3.51
Cs 0.3333 0.6667 0.6667  6 Cl 3.51
Cs 0.6667 0.3333 0.3333  6 Cl 3.51
Rb 0.0000 0.0000 0.5000  6 Cl 3.38
Rb 0.3333 0.6667 0.1667  6 Cl 3.38
Rb 0.6667 0.3333 0.8333  6 Cl 3.38
Cl 0.0000 0.0000 0.2452  3 Rb 3.38, 3 Cs 3.51
Cl 0.0000 0.0000 0.7548  3 Rb 3.38, 3 Cs 3.51
Cl 0.3333 0.6667 0.4214  3 Rb 3.38, 3 Cs 3.51
Cl 0.3333 0.6667 0.9119  3 Rb 3.38, 3 Cs 3.51
Cl 0.6667 0.3333 0.0881  3 Rb 3.38, 3 Cs 3.51
Cl 0.6667 0.3333 0.5786  3 Rb 3.38, 3 Cs 3.51

Values from the calculation:
* symmetry: R-3m
* M_tot: 0.0201 μB/atom
* uncorrected formation energy: -7.80 eV per formula unit
* E: -13.317 eV/f.u.
* polymorph energy (0 for the lowest one): 0.0 meV per atom